[1]
Material: Zn2CrCdF8
Method: DFT, GGA+U
State: relaxed

## Properties
* SG: I-4m2, No. 119

Unit cell a=6.0803 b=6.0803 c=6.0803 alpha=109.81 beta=109.81 gamma=108.79
With the nearest neighbours (Å) after each atom.
Element x y z (fractional)
Zn1 0.5000 0.5000 0.0000  4 F 1.91
Cr1 0.0000 0.0000 0.0000  4 F 2.13
F1 0.9410 0.6424 0.7013  1 Zn 1.95, 1 Cr 2.13
F2 0.3576 0.0590 0.2987  1 Zn 1.95, 1 Cr 2.13
F3 0.7603 0.0590 0.7013  1 Zn 1.95, 1 Cr 2.13
F4 0.9410 0.2397 0.2987  1 Zn 1.95, 1 Cr 2.13
F5 0.5043 0.6943 0.8100  1 Zn 1.91
Zn2 0.7500 0.2500 0.5000  4 F 1.95
F6 0.3057 0.1157 0.8100  1 Zn 1.91
F7 0.3057 0.4957 0.1900  1 Zn 1.91
F8 0.8843 0.6943 0.1900  1 Zn 1.91
Cd1 0.2500 0.7500 0.5000  4 F 2.20


[2]
Material: ZnCrCdF6
Method: DFT, GGA+U
State: relaxed

## Properties
* SG: P-31c, No. 163
* Fermi-level density of states: 0.580 states/eV/atom

Unit cell a=5.4455 b=5.4455 c=9.7147 alpha=90.00 beta=90.00 gamma=120.00
With the nearest neighbours (Å) after each atom.
Element x y z (fractional)
F1 0.6492 0.9991 0.3632  1 Zn 2.08, 1 Cr 2.09, 1 Cd 2.33
Zn1 0.6667 0.3333 0.7500  6 F 2.08
F2 0.0009 0.6501 0.3632  1 Zn 2.08, 1 Cr 2.09, 1 Cd 2.33
F3 0.3508 0.3499 0.8632  1 Zn 2.08, 1 Cr 2.09, 1 Cd 2.33
F4 0.6501 0.0009 0.8632  1 Zn 2.08, 1 Cr 2.09, 1 Cd 2.33
Cr1 0.3333 0.6667 0.7500  6 F 2.09
F5 0.0009 0.3508 0.1368  1 Zn 2.08, 1 Cr 2.09, 1 Cd 2.33
Zn2 0.3333 0.6667 0.2500  6 F 2.08
F6 0.6501 0.6492 0.6368  1 Zn 2.08, 1 Cr 2.09, 1 Cd 2.33
F7 0.9991 0.3499 0.6368  1 Zn 2.08, 1 Cr 2.09, 1 Cd 2.33
F8 0.3508 0.0009 0.6368  1 Zn 2.08, 1 Cr 2.09, 1 Cd 2.33
F9 0.3499 0.3508 0.3632  1 Zn 2.08, 1 Cr 2.09, 1 Cd 2.33
Cd1 0.0000 0.0000 0.5000  6 F 2.33
Cr2 0.6667 0.3333 0.2500  6 F 2.09
Cd2 0.0000 0.0000 0.0000  6 F 2.33
F10 0.6492 0.6501 0.1368  1 Zn 2.08, 1 Cr 2.09, 1 Cd 2.33
F11 0.3499 0.9991 0.1368  1 Zn 2.08, 1 Cr 2.09, 1 Cd 2.33
F12 0.9991 0.6492 0.8632  1 Zn 2.08, 1 Cr 2.09, 1 Cd 2.33


| no. | calculated volume (Å³/cell) | uncorrected energy (eV for the cell shown) |
| --- | --- | --- |
| 1 | 173.0 | -53.079 |
| 2 | 249.5 | -82.701 |